Entry from Alexandria via LeMat-Bulk: a geometry-optimized TcRh5 structure (PBEsol).

The structure in POSCAR format:
```
TcRh5
1.0
2.670 0.000 0.000
0.000 2.670 0.000
0.000 0.000 11.357
Tc Rh
1 5
direct
0.000 0.000 0.000
0.000 0.000 0.336
0.000 0.000 0.664
0.500 0.500 0.164
0.500 0.500 0.500
0.500 0.500 0.836
```

As for the formation energy from the elements: -54 meV per atom. The value obtained for the volume is 81.0 Å³ per cell.